# TmNiAg2F6 | the Alexandria database | PBE+U | relaxed
data_TmNiAg2F6
_chemical_formula_sum 'Tm1 Ni1 Ag2 F6'
_cell_length_a 5.4030
_cell_length_b 5.6699
_cell_length_c 5.6889
_cell_angle_alpha 69.70
_cell_angle_beta 88.15
_cell_angle_gamma 76.50
_symmetry_space_group_name_H-M 'P -1'
_symmetry_Int_Tables_number 2
loop_
_symmetry_equiv_pos_as_xyz
'x,y,z'
'-x,-y,-z'
loop_
_atom_site_label
_atom_site_fract_x
_atom_site_fract_y
_atom_site_fract_z
_atom_site_occupancy
Tm1 0.0000 0.0000 0.0000 1
Ni1 0.5000 0.0000 0.5000 1
Ag1 0.3687 0.5033 0.7067 1
F1 0.1863 0.1496 0.6530 1
F2 0.2218 0.6230 0.0432 1
F3 0.3010 0.0521 0.1984 1
# Uncorrected energy (hartree per atom): -0.17148

---

# ZnNiAg2F6 | the Alexandria database | PBE+U | relaxed
data_ZnNiAg2F6
_chemical_formula_sum 'Zn1 Ni1 Ag2 F6'
_cell_length_a 5.6537
_cell_length_b 5.6558
_cell_length_c 5.6653
_cell_angle_alpha 119.44
_cell_angle_beta 119.59
_cell_angle_gamma 90.68
_symmetry_space_group_name_H-M 'P -1'
_symmetry_Int_Tables_number 2
loop_
_symmetry_equiv_pos_as_xyz
'x,y,z'
'-x,-y,-z'
loop_
_atom_site_label
_atom_site_fract_x
_atom_site_fract_y
_atom_site_fract_z
_atom_site_occupancy
Zn1 0.0000 0.0000 0.0000 1
Ni1 0.5000 0.5000 0.0000 1
Ag1 0.2578 0.7493 0.5070 1
F1 0.1630 0.2622 0.9211 1
F2 0.2916 0.2975 0.5036 1
F3 0.3074 0.8032 0.0071 1
# Uncorrected energy (hartree per atom): -0.14000

---

# ZnNi2AgF8 | the Alexandria database | PBE+U | relaxed
data_ZnNi2AgF8
_chemical_formula_sum 'Zn1 Ni2 Ag1 F8'
_cell_length_a 4.8299
_cell_length_b 4.8330
_cell_length_c 6.5151
_cell_angle_alpha 88.05
_cell_angle_beta 87.94
_cell_angle_gamma 89.81
_symmetry_space_group_name_H-M 'P -1'
_symmetry_Int_Tables_number 2
loop_
_symmetry_equiv_pos_as_xyz
'x,y,z'
'-x,-y,-z'
loop_
_atom_site_label
_atom_site_fract_x
_atom_site_fract_y
_atom_site_fract_z
_atom_site_occupancy
Zn1 0.0000 0.0000 0.0000 1
Ni1 0.4986 0.4988 0.2415 1
Ag1 0.0000 0.0000 0.5000 1
F1 0.2026 0.2004 0.2376 1
F2 0.2140 0.2105 0.7806 1
F3 0.3054 0.6920 0.0002 1
F4 0.3185 0.6790 0.5002 1
# Uncorrected energy (hartree per atom): -0.14452

---

# ZnNi2AgF6 | the Alexandria database | PBE+U | relaxed
data_ZnNi2AgF6
_chemical_formula_sum 'Zn1 Ni2 Ag1 F6'
_cell_length_a 5.3722
_cell_length_b 5.5573
_cell_length_c 5.6813
_cell_angle_alpha 117.70
_cell_angle_beta 116.21
_cell_angle_gamma 90.93
_symmetry_space_group_name_H-M 'P 1'
_symmetry_Int_Tables_number 1
loop_
_symmetry_equiv_pos_as_xyz
'x,y,z'
loop_
_atom_site_label
_atom_site_fract_x
_atom_site_fract_y
_atom_site_fract_z
_atom_site_occupancy
Zn1 0.0000 0.0000 0.0000 1
Ni1 0.2867 0.9144 0.5858 1
Ni2 0.7890 0.3876 0.5850 1
Ag1 0.5018 0.5431 0.0472 1
F1 0.0196 0.1472 0.7283 1
F2 0.1509 0.6924 0.7377 1
F3 0.3885 0.1411 0.4111 1
F4 0.5949 0.7007 0.5588 1
F5 0.7584 0.1884 0.1710 1
F6 0.9206 0.6515 0.0404 1
# Uncorrected energy (hartree per atom): -0.13758

---

Which of these has the lowest uncorrected energy? TmNiAg2F6

---

Copy entry 4 word for word.
# ZnNi2AgF6 | the Alexandria database | PBE+U | relaxed
data_ZnNi2AgF6
_chemical_formula_sum 'Zn1 Ni2 Ag1 F6'
_cell_length_a 5.3722
_cell_length_b 5.5573
_cell_length_c 5.6813
_cell_angle_alpha 117.70
_cell_angle_beta 116.21
_cell_angle_gamma 90.93
_symmetry_space_group_name_H-M 'P 1'
_symmetry_Int_Tables_number 1
loop_
_symmetry_equiv_pos_as_xyz
'x,y,z'
loop_
_atom_site_label
_atom_site_fract_x
_atom_site_fract_y
_atom_site_fract_z
_atom_site_occupancy
Zn1 0.0000 0.0000 0.0000 1
Ni1 0.2867 0.9144 0.5858 1
Ni2 0.7890 0.3876 0.5850 1
Ag1 0.5018 0.5431 0.0472 1
F1 0.0196 0.1472 0.7283 1
F2 0.1509 0.6924 0.7377 1
F3 0.3885 0.1411 0.4111 1
F4 0.5949 0.7007 0.5588 1
F5 0.7584 0.1884 0.1710 1
F6 0.9206 0.6515 0.0404 1
# Uncorrected energy (hartree per atom): -0.13758